(1)
The following is a PBE calculation of a geometry-optimized SrGa2Sn2 structure, from the Alexandria database.

## Properties
Its energy of formation is -0.163 eV/atom. The value obtained for the total magnetization is 0.0 Bohr magnetons per cell. The total energy comes out at -16.6 eV/f.u.

Lattice parameters (Å, degrees): 8.488 8.488 3.670 90.00 90.00 90.00
Space group P4/mbm (No. 127)
Symmetry-distinct sites (fractional):
Sr: 0.000 0.000 0.000
Ga: 0.159 0.341 0.500
Sn: 0.129 0.629 0.000

=====

(2)
The following is a PBE calculation of a geometry-optimized Ac5HgPb4 structure, from the Alexandria database.

## Properties
Its energy of formation is -0.396 eV/atom. The value obtained for the total magnetization is 0.0 Bohr magnetons per cell. The total energy comes out at -39.6 eV/f.u.

Lattice parameters (Å, degrees): 10.745 10.745 6.891 90.00 90.00 90.00
Space group I4 (No. 79)
Symmetry-distinct sites (fractional):
Ac: 0.000 0.000 0.000
Ac: 0.098 0.690 0.377
Hg: 0.000 0.000 0.514
Pb: 0.104 0.711 0.871